1.
A relaxed structure of GdSiPd, computed with GGA-PBE.

Values from the calculation:
raw formation energy	-1.30	eV/f.u.
magnetization	7.06	μB/f.u.
ρ	7.75	g cm⁻³
E	-8.665	eV/atom

```
data_GdSiPd
_chemical_formula_sum 'Gd2 Si2 Pd2'
_space_group_name_H-M_alt 'I 4 m m'
_space_group_IT_number 107
_space_group_name_Hall 'I 4 -2'
_cell_length_a 3.847
_cell_length_b 3.847
_cell_length_c 8.446
_cell_angle_alpha 90.00
_cell_angle_beta 90.00
_cell_angle_gamma 90.00
loop_
_atom_site_label
_atom_site_fract_x
_atom_site_fract_y
_atom_site_fract_z
Gd1 0.000 0.000 0.000
Si1 0.000 0.000 0.337
Pd1 0.000 0.000 0.643
```

***

2.
A relaxed structure of TbGdSiPd, computed with GGA-PBE.

Values from the calculation:
raw formation energy	-2.85	eV/f.u.
magnetization	7.21	μB/f.u.
ρ	8.43	g cm⁻³
E	-8.044	eV/atom

```
data_TbGdSiPd
_chemical_formula_sum 'Tb4 Gd4 Si4 Pd4'
_space_group_name_H-M_alt 'F -4 3 m'
_space_group_IT_number 216
_space_group_name_Hall 'F -4 2 3'
_cell_length_a 7.081
_cell_length_b 7.081
_cell_length_c 7.081
_cell_angle_alpha 90.00
_cell_angle_beta 90.00
_cell_angle_gamma 90.00
loop_
_atom_site_label
_atom_site_fract_x
_atom_site_fract_y
_atom_site_fract_z
Tb1 0.000 0.000 0.000
Gd1 0.000 0.000 0.500
Si1 0.250 0.250 0.250
Pd1 0.250 0.250 0.750
```

***

3.
A relaxed structure of GdYSiPd, computed with GGA-PBE.

Values from the calculation:
raw formation energy	-2.89	eV/f.u.
magnetization	7.18	μB/f.u.
ρ	7.15	g cm⁻³
E	-8.513	eV/atom

```
data_GdYSiPd
_chemical_formula_sum 'Gd4 Y4 Si4 Pd4'
_space_group_name_H-M_alt 'F -4 3 m'
_space_group_IT_number 216
_space_group_name_Hall 'F -4 2 3'
_cell_length_a 7.073
_cell_length_b 7.073
_cell_length_c 7.073
_cell_angle_alpha 90.00
_cell_angle_beta 90.00
_cell_angle_gamma 90.00
loop_
_atom_site_label
_atom_site_fract_x
_atom_site_fract_y
_atom_site_fract_z
Gd1 0.000 0.000 0.000
Y1 0.000 0.000 0.500
Si1 0.250 0.250 0.750
Pd1 0.250 0.250 0.250
```

***

4.
A relaxed structure of SmGdPd, computed with GGA-PBE.

Values from the calculation:
magnetization	7.29	μB/f.u.
ρ	7.98	g cm⁻³
E	-8.424	eV/atom

```
data_SmGdPd
_chemical_formula_sum 'Sm4 Gd4 Pd4'
_space_group_name_H-M_alt 'F -4 3 m'
_space_group_IT_number 216
_space_group_name_Hall 'F -4 2 3'
_cell_length_a 7.011
_cell_length_b 7.011
_cell_length_c 7.011
_cell_angle_alpha 90.00
_cell_angle_beta 90.00
_cell_angle_gamma 90.00
loop_
_atom_site_label
_atom_site_fract_x
_atom_site_fract_y
_atom_site_fract_z
Sm1 0.000 0.000 0.000
Gd1 0.000 0.000 0.500
Pd1 0.250 0.250 0.750
```

***

5.
A relaxed structure of SmGdPd, computed with GGA-PBE.

Values from the calculation:
magnetization	7.27	μB/f.u.
ρ	8.82	g cm⁻³
E	-8.370	eV/atom

```
data_SmGdPd
_chemical_formula_sum 'Sm1 Gd1 Pd1'
_space_group_name_H-M_alt 'P 3 m 1'
_space_group_IT_number 156
_space_group_name_Hall 'P 3 -2"'
_cell_length_a 4.8162
_cell_length_b 4.8162
_cell_length_c 3.8811
_cell_angle_alpha 90.00
_cell_angle_beta 90.00
_cell_angle_gamma 120.00
loop_
_atom_site_label
_atom_site_fract_x
_atom_site_fract_y
_atom_site_fract_z
Sm1 0.0000 0.0000 0.0000
Gd1 0.6667 0.3333 0.4492
Pd1 0.3333 0.6667 0.7105
```

***

6.
A relaxed structure of SmGd2Pd, computed with GGA-PBE.

Values from the calculation:
magnetization	14.43	μB/f.u.
ρ	8.26	g cm⁻³
E	-9.451	eV/atom

```
data_SmGd2Pd
_chemical_formula_sum 'Sm3 Gd6 Pd3'
_space_group_name_H-M_alt 'R -3 m'
_space_group_IT_number 166
_space_group_name_Hall '-R 3 2"'
_cell_length_a 3.4521
_cell_length_b 3.4521
_cell_length_c 33.3988
_cell_angle_alpha 90.00
_cell_angle_beta 90.00
_cell_angle_gamma 120.00
loop_
_atom_site_label
_atom_site_fract_x
_atom_site_fract_y
_atom_site_fract_z
Sm1 0.0000 0.0000 0.0000
Gd1 0.0000 0.0000 0.4214
Pd1 0.0000 0.0000 0.5000
```

***

7.
A relaxed structure of SmGd2Pd, computed with GGA-PBE.

Values from the calculation:
magnetization	14.83	μB/f.u.
ρ	8.50	g cm⁻³
E	-9.903	eV/atom

```
data_SmGd2Pd
_chemical_formula_sum 'Sm1 Gd2 Pd1'
_space_group_name_H-M_alt 'P 4/m m m'
_space_group_IT_number 123
_space_group_name_Hall '-P 4 2'
_cell_length_a 3.613
_cell_length_b 3.613
_cell_length_c 8.548
_cell_angle_alpha 90.00
_cell_angle_beta 90.00
_cell_angle_gamma 90.00
loop_
_atom_site_label
_atom_site_fract_x
_atom_site_fract_y
_atom_site_fract_z
Sm1 0.000 0.000 0.000
Gd1 0.500 0.500 0.302
Pd1 0.000 0.000 0.500
```

***

8.
A relaxed structure of SmGdPd, computed with GGA-PBE.

Values from the calculation:
magnetization	8.10	μB/f.u.
ρ	8.73	g cm⁻³
E	-8.509	eV/atom

```
data_SmGdPd
_chemical_formula_sum 'Sm2 Gd2 Pd2'
_space_group_name_H-M_alt 'I 4 m m'
_space_group_IT_number 107
_space_group_name_Hall 'I 4 -2'
_cell_length_a 3.630
_cell_length_b 3.630
_cell_length_c 11.952
_cell_angle_alpha 90.00
_cell_angle_beta 90.00
_cell_angle_gamma 90.00
loop_
_atom_site_label
_atom_site_fract_x
_atom_site_fract_y
_atom_site_fract_z
Sm1 0.000 0.000 0.000
Gd1 0.000 0.000 0.716
Pd1 0.000 0.000 0.356
```

***

Which of these has the highest magnetization?
number 7